1.
Entry from Alexandria via LeMat-Bulk: a geometry-optimized TbEr6Sc3 structure (PBE-GGA).

Properties
Energy relative to the lowest polymorph listed for this composition: 0.000 eV per atom
D(E_F): 1.430 states/eV/atom
E_form: 0.13 eV/atom

a = 6.188 Å, b = 11.126 Å, c = 11.126 Å
α = 130.48°, β = 90.00°, γ = 90.00°
Element x y z (fractional)
Tb1 0.513 0.841 0.159
Tb2 0.013 0.159 0.841
Er1 0.581 0.623 0.737
Er2 0.826 0.541 0.104
Er3 0.793 0.015 0.985
Er4 0.293 0.985 0.015
Er5 0.081 0.377 0.263
Er6 0.290 0.697 0.303
Er7 0.581 0.263 0.377
Er8 0.326 0.459 0.896
Er9 0.826 0.896 0.459
Er10 0.081 0.737 0.623
Er11 0.790 0.303 0.697
Er12 0.326 0.104 0.541
Sc1 0.486 0.958 0.705
Sc2 0.603 0.583 0.417
Sc3 0.486 0.295 0.042
Sc4 0.986 0.042 0.295
Sc5 0.103 0.417 0.583
Sc6 0.986 0.705 0.958

2.
Entry from Alexandria via LeMat-Bulk: a geometry-optimized Pr3Ni structure (PBE-GGA).

Properties
D(E_F): 1.628 states/eV/atom
E_form: -0.06 eV/atom

a = 6.385 Å, b = 9.051 Å, c = 9.051 Å
α = 82.85°, β = 69.35°, γ = 69.35°
Element x y z (fractional)
Pr1 0.416 0.603 0.001
Pr2 0.855 0.802 0.001
Pr3 0.500 0.638 0.363
Pr4 0.862 0.637 0.638
Pr5 0.501 0.362 0.637
Pr6 0.343 0.999 0.802
Pr7 0.583 0.001 0.397
Pr8 0.138 0.363 0.362
Pr9 0.658 0.198 0.999
Pr10 0.145 0.001 0.198
Pr11 0.981 0.999 0.603
Pr12 0.020 0.397 0.999
Ni1 0.000 0.707 0.295
Ni2 0.705 0.295 0.293
Ni3 0.294 0.705 0.707
Ni4 0.001 0.293 0.705

3.
Entry from Alexandria via LeMat-Bulk: a geometry-optimized Ba4AgRu structure (PBE-GGA).

Properties
D(E_F): 1.361 states/eV/atom
E_form: 1.02 eV/atom

a = 6.929 Å, b = 6.929 Å, c = 6.929 Å
α = 60.00°, β = 60.00°, γ = 60.00°
Each line ends with the local moment (μB).
Element x y z (fractional)
Ba1 0.873 0.376 0.376  -0.12
Ba2 0.376 0.873 0.376  -0.12
Ba3 0.376 0.376 0.376  -0.12
Ba4 0.376 0.376 0.873  -0.12
Ag1 0.000 0.000 0.000  -0.01
Ru1 0.750 0.750 0.750  1.44

4.
Entry from Alexandria via LeMat-Bulk: a geometry-optimized Nd11Rh4Pb9 structure (PBE-GGA).

Properties
D(E_F): 0.626 states/eV/atom
E_form: -0.61 eV/atom

a = 4.076 Å, b = 13.254 Å, c = 13.254 Å
α = 112.69°, β = 90.00°, γ = 90.00°
Element x y z (fractional)
Nd1 0.000 0.690 0.690
Nd2 0.000 0.000 0.000
Nd3 0.000 0.918 0.585
Nd4 0.000 0.836 0.164
Nd5 0.000 0.374 0.626
Nd6 0.000 0.415 0.082
Nd7 0.000 0.626 0.374
Nd8 0.000 0.082 0.415
Nd9 0.000 0.164 0.836
Nd10 0.000 0.310 0.310
Nd11 0.000 0.585 0.918
Pb1 0.500 0.931 0.782
Pb2 0.500 0.218 0.069
Pb3 0.500 0.500 0.500
Pb4 0.500 0.782 0.931
Pb5 0.500 0.627 0.154
Pb6 0.500 0.373 0.846
Pb7 0.500 0.846 0.373
Pb8 0.500 0.154 0.627
Pb9 0.500 0.069 0.218
Rh1 0.500 0.755 0.552
Rh2 0.500 0.448 0.245
Rh3 0.500 0.245 0.448
Rh4 0.500 0.552 0.755

Number 1: magnetic moment 0.0 μB per formula unit. Number 2: magnetic moment 0.0 μB per formula unit. Number 3: magnetic moment 0.3 μB per formula unit. Number 4: magnetic moment 0.0 μB per formula unit.